Record 1
VASP calculation (PBE) on a relaxed structure of KCe2RhS4.

The space group is Cmcm (No. 63) and the conventional cell measures 3.9623, 13.9875 and 13.8050 Å, with angles of 90.00, 90.00 and 90.00 degrees. The distinct sites, in fractional coordinates, are K at (0.0000, 0.1072, 0.2500), Ce at (0.0000, 0.3657, 0.0640), Rh at (0.0000, 0.1617, 0.7500), S at (0.0000, 0.0000, 0.0000), S at (0.0000, 0.2657, 0.6102) and S at (0.0000, 0.4313, 0.2500).

The value obtained for the formation energy without anion corrections is -1.582 eV per atom. The value obtained for the total energy is -197.9 eV for the cell shown.

Record 2
VASP calculation (PBE) on a relaxed structure of CdGe2Sb.

The space group is I-42d (No. 122) and the conventional cell measures 6.3261, 6.3261 and 12.0005 Å, with angles of 90.00, 90.00 and 90.00 degrees. The distinct sites, in fractional coordinates, are Cd at (0.0000, 0.0000, 0.0000), Ge at (0.2462, 0.2500, 0.1250) and Sb at (0.0000, 0.0000, 0.5000).

The value obtained for the formation energy without anion corrections is 0.201 eV per atom. The value obtained for the total energy is -53.9 eV for the cell shown.

Record 3
VASP calculation (PBE) on a relaxed structure of Ba2CuRe.

The space group is C2/m (No. 12) and the conventional cell measures 8.0853, 8.0825 and 3.5668 Å, with angles of 90.00, 90.09 and 90.00 degrees. The distinct sites, in fractional coordinates, are Ba at (0.2500, 0.2500, 0.0000), Cu at (0.0000, 0.0000, 0.5000) and Re at (0.0000, 0.5000, 0.5000).

The value obtained for the total energy is -33.3 eV for the cell shown.

Record 4
VASP calculation (PBE) on a relaxed structure of Nd3Cd2Ir.

The space group is Cmmm (No. 65) and the conventional cell measures 5.1900, 15.7386 and 7.7582 Å, with angles of 90.00, 90.00 and 90.00 degrees. The distinct sites, in fractional coordinates, are Nd at (0.0000, 0.0000, 0.2350), Nd at (0.0000, 0.3242, 0.2189), Cd at (0.0000, 0.1655, 0.5000), Cd at (0.0000, 0.5000, 0.0000), Cd at (0.0000, 0.5000, 0.5000) and Ir at (0.0000, 0.1495, 0.0000).

The value obtained for the total energy is -110.2 eV for the cell shown.

Record 5
VASP calculation (PBE) on a relaxed structure of Pm12Sn5Bi2.

The space group is C2/m (No. 12) and the conventional cell measures 18.0021, 7.1552 and 10.5013 Å, with angles of 90.00, 103.81 and 90.00 degrees. The distinct sites, in fractional coordinates, are Pm at (0.0137, 0.0000, 0.2689), Pm at (0.0961, 0.5000, 0.8090), Pm at (0.1476, 0.2383, 0.5604), Pm at (0.1793, 0.2415, 0.0983), Sn at (0.0000, 0.5000, 0.5000), Sn at (0.1668, 0.0000, 0.8251), Sn at (0.2041, 0.0000, 0.3521) and Bi at (0.0000, 0.2626, 0.0000).

The value obtained for the total energy is -185.6 eV for the cell shown.

Record 6
VASP calculation (PBE) on a relaxed structure of MgCd3Hg4.

The space group is P4/mmm (No. 123) and the conventional cell measures 3.4706, 3.4706 and 15.5577 Å, with angles of 90.00, 90.00 and 90.00 degrees. The distinct sites, in fractional coordinates, are Mg at (0.0000, 0.0000, 0.0000), Cd at (0.0000, 0.0000, 0.2436), Cd at (0.0000, 0.0000, 0.5000), Hg at (0.5000, 0.5000, 0.1148) and Hg at (0.5000, 0.5000, 0.3715).

The value obtained for the total energy is -5.8 eV for the cell shown.

Record 7
VASP calculation (PBE) on a relaxed structure of Nd2Cd3Cu2.

The space group is C2/m (No. 12) and the conventional cell measures 11.4745, 4.4271 and 7.0441 Å, with angles of 90.00, 116.12 and 90.00 degrees. The distinct sites, in fractional coordinates, are Nd at (0.1365, 0.0000, 0.2651), Cd at (0.0000, 0.5000, 0.5000), Cd at (0.1689, 0.0000, 0.7932) and Cu at (0.0760, 0.5000, 0.9209).

The value obtained for the total energy is -44.2 eV for the cell shown.

Record 8
VASP calculation (PBE) on a relaxed structure of Be2GaPd.

The space group is P4/mmm (No. 123) and the conventional cell measures 3.0090, 3.0090 and 5.2230 Å, with angles of 90.00, 90.00 and 90.00 degrees. The distinct sites, in fractional coordinates, are Be at (0.0000, 0.0000, 0.2342), Ga at (0.5000, 0.5000, 0.5000) and Pd at (0.5000, 0.5000, 0.0000).

The value obtained for the total energy is -16.7 eV for the cell shown.

Record 9
VASP calculation (PBE) on a relaxed structure of Hg3S2F2.

The space group is I2_13 (No. 199) and the conventional cell measures 8.3935, 8.3935 and 8.3935 Å, with angles of 90.00, 90.00 and 90.00 degrees. The distinct sites, in fractional coordinates, are Hg at (0.0000, 0.2500, 0.9193), S at (0.0342, 0.4658, 0.5342) and F at (0.2328, 0.2328, 0.2328).

The value obtained for the formation energy without anion corrections is -0.762 eV per atom. The value obtained for the total energy is -73.0 eV for the cell shown.

Record 10
VASP calculation (PBE) on a relaxed structure of Li2NbCdSb.

The space group is P4/mmm (No. 123) and the conventional cell measures 4.8903, 4.8903 and 5.6815 Å, with angles of 90.00, 90.00 and 90.00 degrees. The distinct sites, in fractional coordinates, are Li at (0.0000, 0.5000, 0.0000), Nb at (0.0000, 0.0000, 0.5000), Cd at (0.5000, 0.5000, 0.5000) and Sb at (0.5000, 0.5000, 0.0000).

The value obtained for the formation energy without anion corrections is 0.798 eV per atom. The value obtained for the total energy is -14.9 eV for the cell shown.

Record 11
VASP calculation (PBE) on a relaxed structure of Nd12Mg6Tl.

The space group is R-3 (No. 148, hexagonal axes) and the conventional cell measures 11.6830, 11.6830 and 14.9997 Å, with angles of 90.00, 90.00 and 120.00 degrees. The distinct sites, in fractional coordinates, are Nd at (0.0326, 0.8433, 0.3119), Nd at (0.0696, 0.2133, 0.9085), Mg at (0.0407, 0.5946, 0.2013) and Tl at (0.0000, 0.0000, 0.5000).

The value obtained for the total energy is -207.6 eV for the cell shown.

Record 12
VASP calculation (PBE) on a relaxed structure of Pr4Nd2YSc.

The space group is P2/m (No. 10) and the conventional cell measures 5.1441, 5.1754 and 10.1702 Å, with angles of 90.00, 90.05 and 90.00 degrees. The distinct sites, in fractional coordinates, are Pr at (0.9997, 0.0000, 0.2444), Pr at (0.5001, 0.5000, 0.2451), Nd at (0.0000, 0.5000, 0.0000), Nd at (0.5000, 0.0000, 0.5000), Y at (0.0000, 0.5000, 0.5000) and Sc at (0.5000, 0.0000, 0.0000).

The value obtained for the total energy is -41.2 eV for the cell shown.

Record 13
VASP calculation (PBE) on a relaxed structure of Sc4TlPb.

The space group is C2/c (No. 15) and the conventional cell measures 16.3004, 6.2803 and 6.0406 Å, with angles of 90.00, 94.47 and 90.00 degrees. The distinct sites, in fractional coordinates, are Sc at (0.0754, 0.1192, 0.4381), Sc at (0.1543, 0.3573, 0.0516), Tl at (0.2500, 0.2500, 0.5000) and Pb at (0.0000, 0.4341, 0.7500).

The value obtained for the total energy is -127.3 eV for the cell shown.

Record 14
VASP calculation (PBE) on a relaxed structure of Nd2TmHg6.

The space group is C2/c (No. 15) and the conventional cell measures 14.6045, 11.8750 and 5.4975 Å, with angles of 90.00, 99.98 and 90.00 degrees. The distinct sites, in fractional coordinates, are Nd at (0.1669, 0.1261, 0.0834), Tm at (0.0000, 0.3772, 0.2500), Hg at (0.0562, 0.1305, 0.5295), Hg at (0.1072, 0.3782, 0.8036) and Hg at (0.2163, 0.3762, 0.3619).

The value obtained for the total energy is -77.7 eV for the cell shown.

Record 15
VASP calculation (PBE) on a relaxed structure of Na2Zn2CrSe4.

The space group is C2/m (No. 12) and the conventional cell measures 15.8799, 3.8562 and 7.3093 Å, with angles of 90.00, 112.22 and 90.00 degrees. The distinct sites, in fractional coordinates, are Na at (0.1249, 0.0000, 0.0202), Zn at (0.1713, 0.5000, 0.4897), Cr at (0.0000, 0.0000, 0.5000), Se at (0.0109, 0.5000, 0.2719) and Se at (0.2273, 0.0000, 0.7189).

The value obtained for the formation energy without anion corrections is -0.718 eV per atom. The value obtained for the total energy is -70.4 eV for the cell shown.

Record 16
VASP calculation (PBE) on a relaxed structure of Li2CdHg7.

The space group is Cmmm (No. 65) and the conventional cell measures 8.3355, 14.2559 and 4.7224 Å, with angles of 90.00, 90.00 and 90.00 degrees. The distinct sites, in fractional coordinates, are Li at (0.0000, 0.1964, 0.0000), Cd at (0.0000, 0.5000, 0.5000), Hg at (0.0000, 0.0000, 0.0000), Hg at (0.0000, 0.2817, 0.5000) and Hg at (0.1957, 0.3826, 0.0000).

The value obtained for the total energy is -14.6 eV for the cell shown.

Record 17
VASP calculation (PBE) on a relaxed structure of BaOsSe2.

The space group is Imm2 (No. 44) and the conventional cell measures 3.5991, 3.9170 and 13.7310 Å, with angles of 90.00, 90.00 and 90.00 degrees. The distinct sites, in fractional coordinates, are Ba at (0.0000, 0.0000, 0.0000), Os at (0.0000, 0.5000, 0.7499), Se at (0.0000, 0.0000, 0.3700) and Se at (0.0000, 0.5000, 0.1835).

The value obtained for the formation energy without anion corrections is -0.163 eV per atom. The value obtained for the total energy is -41.5 eV for the cell shown.

Record 18
VASP calculation (PBE) on a relaxed structure of SiAsPRh2C.

The space group is Cm (No. 8) and the conventional cell measures 9.2754, 3.4082 and 7.2740 Å, with angles of 90.00, 123.50 and 90.00 degrees. The distinct sites, in fractional coordinates, are Si at (0.0000, 0.0000, 0.0000), As at (0.2282, 0.5000, 0.4659), P at (0.4022, 0.0000, 0.4635), Rh at (0.1829, 0.5000, 0.7874), Rh at (0.4192, 0.0000, 0.1386) and C at (0.1557, 0.0000, 0.9155).

The value obtained for the formation energy without anion corrections is -0.024 eV per atom. The value obtained for the total energy is -79.1 eV for the cell shown.

Record 19
VASP calculation (PBE) on a relaxed structure of CsMn2BiBr8.

The space group is R32 (No. 155, hexagonal axes) and the conventional cell measures 6.9087, 6.9087 and 33.8604 Å, with angles of 90.00, 90.00 and 120.00 degrees. The distinct sites, in fractional coordinates, are Cs at (0.0000, 0.0000, 0.0000), Mn at (0.0000, 0.0000, 0.2447), Bi at (0.0000, 0.0000, 0.5000), Br at (0.0000, 0.0000, 0.3162) and Br at (0.0029, 0.3500, 0.2224).

The value obtained for the formation energy without anion corrections is -0.897 eV per atom. The value obtained for the total energy is -141.7 eV for the cell shown.

Record 20
VASP calculation (PBE) on a relaxed structure of CaAcSm2In4.

The space group is R-3m (No. 166, hexagonal axes) and the conventional cell measures 5.5139, 5.5139 and 27.3804 Å, with angles of 90.00, 90.00 and 120.00 degrees. The distinct sites, in fractional coordinates, are Ca at (0.0000, 0.0000, 0.0000), Ac at (0.0000, 0.0000, 0.5000), Sm at (0.0000, 0.0000, 0.2531), In at (0.0000, 0.0000, 0.1224) and In at (0.0000, 0.0000, 0.3729).

The value obtained for the total energy is -90.0 eV for the cell shown.

Record 21
VASP calculation (PBE) on a relaxed structure of PtRh2Pb.

The space group is Cmmm (No. 65) and the conventional cell measures 5.8645, 7.4266 and 3.0735 Å, with angles of 90.00, 90.00 and 90.00 degrees. The distinct sites, in fractional coordinates, are Pt at (0.0000, 0.0000, 0.0000), Rh at (0.2500, 0.2500, 0.5000) and Pb at (0.0000, 0.5000, 0.0000).

The value obtained for the total energy is -48.7 eV for the cell shown.

Record 22
VASP calculation (PBE) on a relaxed structure of Er3TmIr3.

The space group is Cmmm (No. 65) and the conventional cell measures 9.7714, 9.8187 and 6.5244 Å, with angles of 90.00, 90.00 and 90.00 degrees. The distinct sites, in fractional coordinates, are Er at (0.0000, 0.2449, 0.0000), Er at (0.2453, 0.0000, 0.0000), Er at (0.2469, 0.0000, 0.5000), Tm at (0.0000, 0.2426, 0.5000), Ir at (0.0000, 0.0000, 0.2501) and Ir at (0.2500, 0.2500, 0.2507).

The value obtained for the total energy is -200.7 eV for the cell shown.

Number 1: calculated density 4.78 Mg/m³. Number 2: calculated density 5.25 Mg/m³. Number 3: calculated density 7.47 Mg/m³. Number 4: calculated density 8.91 Mg/m³. Number 5: calculated density 6.96 Mg/m³. Number 6: calculated density 10.31 Mg/m³. Number 7: calculated density 7.78 Mg/m³. Number 8: calculated density 6.82 Mg/m³. Number 9: calculated density 7.91 Mg/m³. Number 10: calculated density 4.17 Mg/m³. Number 11: calculated density 5.85 Mg/m³. Number 12: calculated density 6.05 Mg/m³. Number 13: calculated density 6.37 Mg/m³. Number 14: calculated density 11.75 Mg/m³. Number 15: calculated density 4.37 Mg/m³. Number 16: calculated density 9.06 Mg/m³. Number 17: calculated density 8.33 Mg/m³. Number 18: calculated density 6.09 Mg/m³. Number 19: calculated density 3.88 Mg/m³. Number 20: calculated density 7.10 Mg/m³. Number 21: calculated density 15.09 Mg/m³. Number 22: calculated density 13.24 Mg/m³.